{
  "formula": "Cr2Co2Se",
  "functional": "GGA-PBEsol",
  "state": "relaxed",
  "cell": [[-1.574, 1.574, 6.203], [1.574, -1.574, 6.203], [1.574, 1.574, -6.203]],
  "species": ["Cr", "Cr", "Co", "Co", "Se"],
  "frac_coords": [[0.250, 0.750, 0.500], [0.750, 0.250, 0.500], [0.099, 0.099, 0.000], [0.901, 0.901, 0.000], [0.500, 0.500, 0.000]],
  "dft_energy_ev_per_atom": -7.5757,
  "density_g_cm3": 8.12,
  "space_group": "I4/mmm"
}

=====

{
  "formula": "LaCl5",
  "functional": "GGA-PBEsol",
  "state": "relaxed",
  "cell": [[6.371, -2.083, 0.000], [6.371, 2.083, 0.000], [-5.221, 0.000, 7.468]],
  "species": ["La", "Cl", "Cl", "Cl", "Cl", "Cl"],
  "frac_coords": [[0.000, 0.000, 0.000], [0.331, 0.331, 0.912], [0.542, 0.542, 0.486], [0.615, 0.615, 0.335], [0.681, 0.681, 0.102], [0.956, 0.956, 0.690]],
  "dft_energy_ev_per_atom": -4.0049,
  "density_g_cm3": 2.65,
  "space_group": "Cm"
}